A plane-wave DFT calculation with PBE-GGA was carried out for a geometry-optimized SrSb4Ir structure.

Calculated values
Raw total energy = -98.60 eV per cell
DOS(E_F) = 5.9 states/eV/f.u.
E_form (uncorrected) = 0.397 eV/atom
Total magnetic moment = 3.21 Bohr magnetons per cell
V = 663 Å³/cell

Unit cell a=8.7196 b=8.7196 c=8.7196 alpha=90.00 beta=90.00 gamma=90.00
With the nearest neighbours (Å) after each atom.
Space group F-43m (No. 216)
One atom of each set of equivalent atoms:
Sr  0.0000  0.0000  0.0000  12 Sb 3.62, 4 Ir 3.78
Sb  0.1240  0.1240  0.3760  6 Sb 3.06-3.11
Ir  0.2500  0.2500  0.7500  12 Sb 3.61, 4 Sr 3.78


A plane-wave DFT calculation with PBE-GGA was carried out for a geometry-optimized SrSb3Ir structure.

Calculated values
Raw total energy = -22.97 eV per cell
DOS(E_F) = 4.3 states/eV/f.u.
E_form (uncorrected) = -0.012 eV/atom
Energy above the most stable polymorph in this dataset = 439 meV/atom
Total magnetic moment = 0.00 Bohr magnetons per cell
V = 151 Å³/cell

Unit cell a=5.3286 b=5.3286 c=5.3286 alpha=90.00 beta=90.00 gamma=90.00
With the nearest neighbours (Å) after each atom.
Space group Pm-3m (No. 221)
One atom of each set of equivalent atoms:
Sr  0.0000  0.0000  0.0000  12 Sb 3.77
Sb  0.0000  0.5000  0.5000  2 Ir 2.66
Ir  0.5000  0.5000  0.5000  6 Sb 2.66